Entry from Alexandria via LeMat-Bulk: a geometry-optimized BaAc2Pb structure (PBE-GGA).

It has space group R3m (No. 160, hexagonal axes), with a = 4.6387 Å, b = 4.6387 Å, c = 32.9709 Å, α = 90.00°, β = 90.00° and γ = 120.00°. The distinct sites, in fractional coordinates, are Ba at (0.0000, 0.0000, 0.0000), Ac at (0.0000, 0.0000, 0.2277), Ac at (0.0000, 0.0000, 0.4407) and Pb at (0.0000, 0.0000, 0.8349).

Its magnetization is 1.03 Bohr magnetons per cell. As for the formation enthalpy at 0 K: -0.271 eV per formula unit. The calculation puts the energy above the lowest structure with this stoichiometry at 0.49 eV/f.u.